Compound: YMgCrOs2
Source: Alexandria
Functional: PBE
Structure: optimized geometry

Calculated values
D(E_F) (states/eV per atom): 1.716
Crystal system: tetragonal
ρ (g/cm3): 9.11
Space-group type: P4/mmm, No. 123
Total moment (μB per formula unit): 0.05
Formation energy (meV per atom): 2057.7

a = 4.5604 Å, b = 4.5604 Å, c = 4.7821 Å
α = 90.00°, β = 90.00°, γ = 90.00°
Fractional positions:
Y (0.0000, 0.0000, 0.0000)
Mg (0.0000, 0.0000, 0.5000)
Cr (0.5000, 0.5000, 0.0000)
Os (0.0000, 0.5000, 0.5000)
Os (0.5000, 0.0000, 0.5000)